[1]
Material: La2Pm4Sm
Method: DFT, GGA-PBE
State: relaxed

It has space group Ccce (No. 68, origin choice 2), with a = 12.564 Å, b = 23.550 Å, c = 6.723 Å, α = 90.00°, β = 90.00° and γ = 90.00°. Symmetry generates all atoms from La at (0.000, 0.032, 0.250), La at (0.141, 0.250, 0.750), Pm at (0.121, 0.110, 0.643), Pm at (0.121, 0.167, 0.156) and Sm at (0.250, 0.000, 0.439).

The energy above the most stable polymorph in this dataset is 0 meV/atom. Its energy of formation is 0.173 eV/atom. The calculation puts the density at 6.733 g cm⁻³. The total energy is -4.62 eV per atom. As for the density of states at the Fermi level: 1.553 states/eV per atom. Its total magnetization is 0.0 μB per formula unit.



[2]
Material: TiMn3Rh4
Method: DFT, GGA-PBE
State: relaxed

It has space group P4/mmm (No. 123), with a = 3.087 Å, b = 3.087 Å, c = 12.082 Å, α = 90.00°, β = 90.00° and γ = 90.00°. Symmetry generates all atoms from Ti at (0.000, 0.000, 0.000), Mn at (0.000, 0.000, 0.254), Mn at (0.000, 0.000, 0.500), Rh at (0.500, 0.500, 0.122) and Rh at (0.500, 0.500, 0.376).

Its energy of formation is -0.367 eV/atom. The calculation puts the density at 9.001 g cm⁻³. The total energy is -8.47 eV per atom. As for the density of states at the Fermi level: 0.735 states/eV per atom. Its total magnetization is 13.4 μB per formula unit.



[3]
Material: AcBTe2O8
Method: DFT, GGA-PBE
State: relaxed

It has space group C2/m (No. 12), with a = 10.255 Å, b = 4.702 Å, c = 7.142 Å, α = 90.00°, β = 118.21° and γ = 90.00°. Symmetry generates all atoms from Ac at (0.000, 0.000, 0.000), B at (0.000, 0.500, 0.500), Te at (0.174, 0.000, 0.617), O at (0.035, 0.265, 0.677), O at (0.158, 0.500, 0.112) and O at (0.240, 0.500, 0.606).

The calculation puts the density at 6.795 g cm⁻³. The energy relative to the elements, uncorrected comes out at -16.03 eV/f.u. The total energy is -6.06 eV per atom. As for the density of states at the Fermi level: 0.366 states/eV per atom. Its total magnetization is 0.0 μB per formula unit.